Entry 1:
A plane-wave DFT calculation with GGA-PBE was carried out for an optimized crystal structure of Er8Bi2As.

## Properties
magnetization	0.088	μB per atom
DOS at the Fermi energy	10.4	states/eV/cell

Cell: 4.0828 8.8003 9.2650 Å, 94.72 102.73 90.00°
Fractional coordinates of all 11 atoms:
Er  0.9855  0.7741  0.9709
Bi  0.8226  0.2278  0.6453
Bi  0.1774  0.7722  0.3547
Er  0.2068  0.3626  0.4136
Er  0.6557  0.0347  0.3114
Er  0.0145  0.2259  0.0291
As  0.5000  0.0000  0.0000
Er  0.4087  0.4616  0.8174
Er  0.7932  0.6374  0.5864
Er  0.3443  0.9653  0.6886
Er  0.5913  0.5384  0.1826

Entry 2:
A plane-wave DFT calculation with GGA-PBE was carried out for an optimized crystal structure of CeTm5Rh6.

## Properties
magnetization	0.017	μB per atom
DOS at the Fermi energy	7.3	states/eV/cell

Cell: 4.7573 6.9526 7.5093 Å, 90.00 71.53 90.00°
Fractional coordinates of all 12 atoms:
Rh  0.4999  0.2502  0.0000
Ce  0.0000  0.0000  0.0000
Tm  0.3308  0.0000  0.3383
Rh  0.1653  0.7495  0.6694
Tm  0.6675  0.5000  0.6650
Tm  0.0000  0.5000  0.0000
Tm  0.6692  0.0000  0.6617
Rh  0.8347  0.2505  0.3306
Rh  0.8347  0.7495  0.3306
Rh  0.5001  0.7498  0.0000
Rh  0.1653  0.2505  0.6694
Tm  0.3325  0.5000  0.3350

Entry 3:
A plane-wave DFT calculation with GGA-PBE was carried out for an optimized crystal structure of La2ZnCrPt.

## Properties
magnetization	0.847	μB per atom
DOS at the Fermi energy	3.9	states/eV/cell

Cell: 5.6437 4.6190 5.6437 Å, 90.00 90.00 90.00°
Fractional coordinates of all 5 atoms:
Pt  0.0000  0.5000  0.0000
Cr  0.5000  0.5000  0.5000
La  0.5000  0.0000  0.0000
Zn  0.0000  0.0000  0.0000
La  0.0000  0.0000  0.5000

Per-record calculated total energy, eV per cell: -54.4, -83.4, -25.2
Per-record formation energy, kcal/mol of atoms: -11.53, -21.06, 7.42